{
  "formula": "HgBiCl3",
  "functional": "PBE",
  "state": "optimized geometry",
  "lattice_angstrom": [[7.1775, -0.0020, 0.0445], [-2.0336, 7.6934, -0.0189], [-2.9048, -3.0379, 6.0636]],
  "species": ["Bi", "Bi", "Hg", "Hg", "Cl", "Cl", "Cl", "Cl", "Cl", "Cl"],
  "frac_coords": [[0.9782, 0.0827, 0.3487], [0.7452, 0.5943, 0.6308], [0.2948, 0.9069, 0.3322], [0.2275, 0.2702, 0.8562], [0.7830, 0.4483, 0.8966], [0.7511, 0.9310, 0.9092], [0.6850, 0.2681, 0.3116], [0.2410, 0.3876, 0.3550], [0.1612, 0.7647, 0.7853], [0.6370, 0.7888, 0.3268]],
  "dos_ef_per_ev_atom": 0.000,
  "volume_a3_per_fu": 167.8,
  "de_polymorph_mev_per_atom": 25,
  "e_form_raw_ev_per_atom": -0.737
}

---

{
  "formula": "Hg2Bi2Cl",
  "functional": "PBE",
  "state": "optimized geometry",
  "lattice_angstrom": [[8.7528, 0.0000, 0.0000], [0.0000, 8.7528, 0.0000], [0.0000, 0.0000, 3.7915]],
  "species": ["Cl", "Cl", "Bi", "Bi", "Bi", "Bi", "Hg", "Hg", "Hg", "Hg"],
  "frac_coords": [[0.0000, 0.0000, 0.0000], [0.5000, 0.5000, 0.0000], [0.1303, 0.6303, 0.5000], [0.6303, 0.8697, 0.5000], [0.8697, 0.3697, 0.5000], [0.3697, 0.1303, 0.5000], [0.3299, 0.8299, 0.0000], [0.8299, 0.6701, 0.0000], [0.6701, 0.1701, 0.0000], [0.1701, 0.3299, 0.0000]],
  "dos_ef_per_ev_atom": 0.643,
  "volume_a3_per_fu": 145.2,
  "de_polymorph_mev_per_atom": 106,
  "e_form_raw_ev_per_atom": 0.046
}

---

Please write out number 2 again, unchanged.
{
  "formula": "Hg2Bi2Cl",
  "functional": "PBE",
  "state": "optimized geometry",
  "lattice_angstrom": [[8.7528, 0.0000, 0.0000], [0.0000, 8.7528, 0.0000], [0.0000, 0.0000, 3.7915]],
  "species": ["Cl", "Cl", "Bi", "Bi", "Bi", "Bi", "Hg", "Hg", "Hg", "Hg"],
  "frac_coords": [[0.0000, 0.0000, 0.0000], [0.5000, 0.5000, 0.0000], [0.1303, 0.6303, 0.5000], [0.6303, 0.8697, 0.5000], [0.8697, 0.3697, 0.5000], [0.3697, 0.1303, 0.5000], [0.3299, 0.8299, 0.0000], [0.8299, 0.6701, 0.0000], [0.6701, 0.1701, 0.0000], [0.1701, 0.3299, 0.0000]],
  "dos_ef_per_ev_atom": 0.643,
  "volume_a3_per_fu": 145.2,
  "de_polymorph_mev_per_atom": 106,
  "e_form_raw_ev_per_atom": 0.046
}